Material: ScOsN2F
Method: DFT, GGA-PBEsol
State: relaxed

Cell and atoms, written as POSCAR:
```
ScOsN2F
1.0
4.141 0.000 0.000
0.000 4.141 0.000
0.000 0.000 3.604
Sc Os N F
1 1 2 1
direct
0.000 0.000 0.000 Sc
0.500 0.500 0.000 Os
0.000 0.500 0.500 N
0.500 0.000 0.500 N
0.500 0.500 0.500 F
```

Output
energy relative to the elements, uncorrected: 1436 meV per atom
excess energy over the best structure of this formula in the dataset: 880 meV/atom
space-group type: P4/mmm, No. 123

Material: SnHgP14
Method: DFT, GGA-PBEsol
State: relaxed

Cell and atoms, written as POSCAR:
```
SnHgP14
1.0
12.630 0.000 0.000
0.000 9.818 0.000
0.000 0.000 10.451
Sn Hg P
4 4 56
direct
0.171 0.250 0.099 Sn
0.329 0.750 0.599 Sn
0.671 0.250 0.401 Sn
0.829 0.750 0.901 Sn
0.187 0.750 0.014 Hg
0.313 0.250 0.514 Hg
0.687 0.750 0.486 Hg
0.813 0.250 0.986 Hg
0.035 0.076 0.850 P
0.035 0.424 0.850 P
0.035 0.750 0.838 P
0.064 0.250 0.720 P
0.065 0.080 0.427 P
0.065 0.420 0.427 P
0.077 0.583 0.707 P
0.077 0.750 0.409 P
0.077 0.917 0.707 P
0.137 0.541 0.142 P
0.137 0.959 0.142 P
0.164 0.250 0.356 P
0.175 0.575 0.344 P
0.175 0.925 0.344 P
0.325 0.075 0.844 P
0.325 0.425 0.844 P
0.336 0.750 0.856 P
0.363 0.041 0.642 P
0.363 0.459 0.642 P
0.423 0.083 0.207 P
0.423 0.250 0.909 P
0.423 0.417 0.207 P
0.435 0.580 0.927 P
0.435 0.920 0.927 P
0.436 0.750 0.220 P
0.465 0.250 0.338 P
0.465 0.576 0.350 P
0.465 0.924 0.350 P
0.535 0.076 0.650 P
0.535 0.424 0.650 P
0.535 0.750 0.662 P
0.564 0.250 0.780 P
0.565 0.080 0.073 P
0.565 0.420 0.073 P
0.577 0.583 0.793 P
0.577 0.750 0.091 P
0.577 0.917 0.793 P
0.637 0.541 0.358 P
0.637 0.959 0.358 P
0.664 0.250 0.144 P
0.675 0.575 0.156 P
0.675 0.925 0.156 P
0.825 0.075 0.656 P
0.825 0.425 0.656 P
0.836 0.750 0.644 P
0.863 0.041 0.858 P
0.863 0.459 0.858 P
0.923 0.083 0.293 P
0.923 0.250 0.591 P
0.923 0.417 0.293 P
0.935 0.580 0.573 P
0.935 0.920 0.573 P
0.936 0.750 0.280 P
0.965 0.250 0.162 P
0.965 0.576 0.150 P
0.965 0.924 0.150 P
```

Output
energy of formation: -0.06 eV/f.u.
space-group type: Pnma, No. 62

Material: ScZn2Ni
Method: DFT, GGA-PBEsol
State: relaxed

Cell and atoms, written as POSCAR:
```
ScZn2Ni
1.0
2.551 -4.307 0.000
2.551 4.307 0.000
-0.588 0.000 2.681
Sc Zn Ni
1 2 1
direct
0.000 0.000 0.000 Sc
0.000 0.500 0.500 Zn
0.500 0.000 0.500 Zn
0.500 0.500 0.000 Ni
```

Output
energy of formation: -0.29 eV/f.u.
space-group type: C2/m, No. 12

Material: Zn2PtPb
Method: DFT, GGA-PBEsol
State: relaxed

Cell and atoms, written as POSCAR:
```
Zn2PtPb
1.0
-1.713 2.448 4.325
1.713 -2.448 4.325
1.713 2.448 -4.325
Zn Pt Pb
2 1 1
direct
0.223 0.223 0.000 Zn
0.777 0.777 0.000 Zn
0.000 0.500 0.500 Pt
0.500 0.000 0.500 Pb
```

Output
energy of formation: 0.06 eV/f.u.
space-group type: Immm, No. 71

Material: KHg2Pt
Method: DFT, GGA-PBEsol
State: relaxed

Cell and atoms, written as POSCAR:
```
KHg2Pt
1.0
3.068 0.000 0.000
0.000 3.068 0.000
0.000 0.000 9.206
K Hg Pt
1 2 1
direct
0.000 0.000 0.000 K
0.500 0.500 0.289 Hg
0.500 0.500 0.711 Hg
0.000 0.000 0.500 Pt
```

Output
energy of formation: 0.08 eV/f.u.
excess energy over the best structure of this formula in the dataset: 0 meV/atom
space-group type: P4/mmm, No. 123

Material: CrSbMo2
Method: DFT, GGA-PBEsol
State: relaxed

Cell and atoms, written as POSCAR:
```
CrSbMo2
1.0
3.022 0.000 0.000
0.000 3.964 0.000
0.000 0.000 5.403
Cr Sb Mo
1 1 2
direct
0.000 0.000 0.000 Cr
0.500 0.500 0.704 Sb
0.000 0.000 0.410 Mo
0.500 0.500 0.195 Mo
```

Output
energy relative to the elements, uncorrected: 333 meV per atom
space-group type: Pmm2, No. 25

Material: KLi2SnBi
Method: DFT, GGA-PBEsol
State: relaxed

Cell and atoms, written as POSCAR:
```
KLi2SnBi
1.0
5.064 0.000 0.000
0.000 5.064 0.000
0.000 0.000 5.933
K Li Sn Bi
1 2 1 1
direct
0.000 0.000 0.000 K
0.000 0.500 0.000 Li
0.500 0.000 0.000 Li
0.000 0.000 0.500 Sn
0.500 0.500 0.500 Bi
```

Output
energy of formation: 2.97 eV/f.u.
space-group type: P4/mmm, No. 123

Material: Hf3AsS
Method: DFT, GGA-PBEsol
State: relaxed

Cell and atoms, written as POSCAR:
```
Hf3AsS
1.0
4.676 0.000 0.000
0.000 4.676 0.000
0.000 0.000 4.676
Hf As S
3 1 1
direct
0.000 0.000 0.500 Hf
0.000 0.500 0.000 Hf
0.500 0.000 0.000 Hf
0.500 0.500 0.500 As
0.000 0.000 0.000 S
```

Output
energy relative to the elements, uncorrected: -211 meV per atom
space-group type: Pm-3m, No. 221

Material: LiZrPb2
Method: DFT, GGA-PBEsol
State: relaxed

Cell and atoms, written as POSCAR:
```
LiZrPb2
1.0
4.631 -1.622 0.000
4.631 1.622 0.000
-1.050 0.000 6.245
Li Zr Pb
1 1 2
direct
0.000 0.000 0.000 Li
0.500 0.500 0.500 Zr
0.254 0.254 0.762 Pb
0.746 0.746 0.238 Pb
```

Output
energy of formation: -0.32 eV/f.u.
space-group type: C2/m, No. 12

Material: Cu2TcNi
Method: DFT, GGA-PBEsol
State: relaxed

Cell and atoms, written as POSCAR:
```
Cu2TcNi
1.0
-1.293 2.171 4.242
1.293 -2.171 4.242
1.293 2.171 -4.242
Cu Tc Ni
2 1 1
direct
0.000 0.000 0.000 Cu
0.757 0.257 0.500 Cu
0.489 0.489 0.000 Tc
0.241 0.741 0.500 Ni
```

Output
energy of formation: 1.10 eV/f.u.
excess energy over the best structure of this formula in the dataset: 224 meV/atom
space-group type: Imm2, No. 44

Material: UFe3B2
Method: DFT, GGA-PBEsol
State: relaxed

Cell and atoms, written as POSCAR:
```
UFe3B2
1.0
5.038 0.000 0.000
-2.519 4.363 0.000
0.000 0.000 2.794
U Fe B
1 3 2
direct
0.000 0.000 0.000 U
0.000 0.500 0.500 Fe
0.500 0.000 0.500 Fe
0.500 0.500 0.500 Fe
0.333 0.667 0.000 B
0.667 0.333 0.000 B
```

Output
energy of formation: -2.91 eV/f.u.
space-group type: P6/mmm, No. 191

Material: La3Sc
Method: DFT, GGA-PBEsol
State: relaxed

Cell and atoms, written as POSCAR:
```
La3Sc
1.0
3.590 0.000 0.000
0.000 3.590 0.000
0.000 0.000 9.639
La Sc
3 1
direct
0.000 0.000 0.000 La
0.500 0.500 0.265 La
0.500 0.500 0.735 La
0.000 0.000 0.500 Sc
```

Output
energy of formation: 0.17 eV/f.u.
space-group type: P4/mmm, No. 123

Respective total moment values: 0.004 0.000 0.002 0.000 0.000 0.000 0.000 0.000 0.000 0.782 0.001 0.000 Bohr magnetons per cell.